(1)
A plane-wave DFT calculation with PBEsol was carried out for a relaxed Sr2InIr crystal.

```
Sr2InIr
1.0
3.5248 -3.5334 0.0000
3.5248 3.5334 0.0000
0.0000 0.0000 4.1341
Sr In Ir
2 1 1
Cartesian
1.7624 1.7667 0.0000 Sr
1.7624 -1.7667 0.0000 Sr
0.0000 0.0000 2.0670 In
3.5248 0.0000 2.0670 Ir
```

Calculated values
Symmetry: Cmmm (65)
N(E_F) in states/eV/cell: 2.1
Calculated volume in Å³ per atom: 25.745
Formation enthalpy at 0 K in eV/atom: -0.0165

---

(2)
A plane-wave DFT calculation with PBEsol was carried out for a relaxed SrIn2Ir2 crystal.

```
SrIn2Ir2
1.0
-2.2341 2.2341 5.5039
2.2341 -2.2341 5.5039
2.2341 2.2341 -5.5039
Sr In Ir
1 2 2
Cartesian
0.0000 0.0000 0.0000 Sr
2.2341 0.0000 2.7520 In
0.0000 2.2341 2.7520 In
0.0000 0.0000 4.2963 Ir
0.0000 0.0000 6.7115 Ir
```

Calculated values
Symmetry: I4/mmm (139)
N(E_F) in states/eV/cell: 2.1
Calculated volume in Å³ per atom: 21.978
Formation enthalpy at 0 K in eV/atom: -0.2877

---

(3)
A plane-wave DFT calculation with PBEsol was carried out for a relaxed SrIn8Ir2 crystal.

```
SrIn8Ir2
1.0
13.8405 0.0000 0.0000
0.0000 16.1548 0.0000
0.0000 0.0000 4.3653
Sr In Ir
4 32 8
Cartesian
2.1712 2.9222 0.0000 Sr
4.7490 10.9996 0.0000 Sr
9.0914 5.1552 0.0000 Sr
11.6692 13.2326 0.0000 Sr
0.0000 0.0000 0.0000 In
0.0000 8.0774 2.1826 In
0.2769 14.0003 2.1826 In
0.6999 5.1107 2.1826 In
1.4029 12.0782 0.0000 In
2.2007 7.3706 0.0000 In
2.3147 10.0577 2.1826 In
2.3531 0.1975 2.1826 In
3.3354 13.2952 2.1826 In
3.5849 5.2178 2.1826 In
4.5671 8.2749 2.1826 In
4.6055 1.9803 2.1826 In
4.7196 15.4480 0.0000 In
5.5174 4.0008 0.0000 In
6.2203 13.1881 2.1826 In
6.6433 5.9229 2.1826 In
6.9202 0.0000 2.1826 In
6.9202 8.0774 0.0000 In
7.1971 10.2320 2.1826 In
7.6201 2.9667 2.1826 In
8.3231 12.1540 0.0000 In
9.1209 0.7068 0.0000 In
9.2349 14.1746 2.1826 In
9.2734 7.8799 2.1826 In
10.2556 10.9370 2.1826 In
10.5051 2.8596 2.1826 In
11.4873 15.9574 2.1826 In
11.5258 6.0971 2.1826 In
11.6398 8.7842 0.0000 In
12.4376 4.0766 0.0000 In
13.1405 11.0441 2.1826 In
13.5636 2.1546 2.1826 In
0.4849 9.6434 0.0000 Ir
2.1388 14.6072 0.0000 Ir
4.7814 6.5298 0.0000 Ir
6.4354 1.5660 0.0000 Ir
7.4051 14.5889 0.0000 Ir
9.0590 9.6251 0.0000 Ir
11.7017 1.5477 0.0000 Ir
13.3556 6.5115 0.0000 Ir
```

Calculated values
Symmetry: Pbam (55)
N(E_F) in states/eV/cell: 9.3
Calculated volume in Å³ per atom: 22.183
Formation enthalpy at 0 K in eV/atom: -0.2979

---

Q: Which value of calculated volume does entry 3 give?
A: 22.183 Å³ per atom

---

Q: The highest formation enthalpy at 0 K belongs to which entry?
A: Sr2InIr